*i*
DFT (PBE-GGA) results for a geometry-optimized La2Ho3Er2 structure.

Unit cell a=8.994 b=8.994 c=8.567 alpha=118.25 beta=118.25 gamma=22.51
Fractional coordinates of all 7 atoms:
La  0.067  0.067  0.218
La  0.933  0.933  0.782
Ho  0.288  0.288  0.374
Ho  0.500  0.500  0.500
Ho  0.712  0.712  0.626
Er  0.346  0.346  0.034
Er  0.654  0.654  0.966

spin magnetization = 0.0 μB per formula unit
V = 232 Å³/f.u.
symmetry = C2/m

---

*ii*
DFT (PBE-GGA) results for a geometry-optimized La2Ho3Er2 structure.

Unit cell a=3.555 b=8.524 c=8.708 alpha=117.78 beta=90.03 gamma=90.18
Fractional coordinates of all 7 atoms:
La  0.001  0.420  0.176
La  0.999  0.580  0.824
Ho  0.499  0.269  0.446
Ho  0.500  0.000  0.000
Ho  0.501  0.731  0.554
Er  0.004  0.123  0.718
Er  0.996  0.877  0.282

spin magnetization = 0.0 μB per formula unit
V = 233 Å³/f.u.
symmetry = P-1

---

Preferred: *ii*; penalty for the next structure: 54 meV/atom.

---

*i*
DFT (PBE-GGA) results for a geometry-optimized La6Ho12Er structure.

Unit cell a=8.744 b=8.744 c=8.744 alpha=79.25 beta=79.25 gamma=79.25
Fractional coordinates of all 19 atoms:
La  0.266  0.266  0.664
La  0.266  0.664  0.266
La  0.336  0.734  0.734
La  0.664  0.266  0.266
La  0.734  0.336  0.734
La  0.734  0.734  0.336
Ho  0.012  0.012  0.695
Ho  0.012  0.695  0.012
Ho  0.015  0.361  0.361
Ho  0.305  0.988  0.988
Ho  0.361  0.015  0.361
Ho  0.361  0.361  0.015
Ho  0.639  0.639  0.985
Ho  0.639  0.985  0.639
Ho  0.695  0.012  0.012
Ho  0.985  0.639  0.639
Ho  0.988  0.305  0.988
Ho  0.988  0.988  0.305
Er  0.500  0.500  0.500

spin magnetization = 0.0 μB per formula unit
V = 637 Å³/f.u.
symmetry = R-3m

---

*ii*
DFT (PBE-GGA) results for a geometry-optimized La6Ho12Er structure.

Unit cell a=8.789 b=8.789 c=8.789 alpha=98.77 beta=98.77 gamma=98.77
Fractional coordinates of all 19 atoms:
La  0.155  0.595  0.595
La  0.405  0.405  0.845
La  0.405  0.845  0.405
La  0.595  0.155  0.595
La  0.595  0.595  0.155
La  0.845  0.405  0.405
Ho  0.000  0.254  0.746
Ho  0.000  0.746  0.254
Ho  0.145  0.145  0.420
Ho  0.145  0.420  0.145
Ho  0.254  0.000  0.746
Ho  0.254  0.746  0.000
Ho  0.420  0.145  0.145
Ho  0.580  0.855  0.855
Ho  0.746  0.000  0.254
Ho  0.746  0.254  0.000
Ho  0.855  0.580  0.855
Ho  0.855  0.855  0.580
Er  0.500  0.500  0.500

spin magnetization = 0.0 μB per formula unit
V = 652 Å³/f.u.
symmetry = R-3m

---

Preferred: *i*; penalty for the next structure: 86 meV/atom.

---

*i*
DFT (PBE-GGA) results for a geometry-optimized La4HoEr4 structure.

Unit cell a=7.471 b=7.471 c=7.471 alpha=114.49 beta=114.49 gamma=99.84
Fractional coordinates of all 9 atoms:
La  0.000  0.500  0.500
La  0.147  0.147  0.000
La  0.500  0.000  0.500
La  0.853  0.853  0.000
Ho  0.500  0.500  0.000
Er  0.000  0.000  0.500
Er  0.000  0.500  0.000
Er  0.500  0.000  0.000
Er  0.500  0.500  0.500

spin magnetization = 0.0 μB per formula unit
V = 314 Å³/f.u.
symmetry = I4/mmm

---

*ii*
DFT (PBE-GGA) results for a geometry-optimized La4HoEr4 structure.

Unit cell a=8.074 b=8.074 c=8.074 alpha=95.78 beta=95.78 gamma=143.00
Fractional coordinates of all 9 atoms:
La  0.167  0.167  0.334
La  0.167  0.833  0.000
La  0.833  0.167  0.000
La  0.833  0.833  0.666
Ho  0.500  0.500  0.000
Er  0.163  0.500  0.663
Er  0.500  0.163  0.663
Er  0.500  0.837  0.337
Er  0.837  0.500  0.337

spin magnetization = 0.0 μB per formula unit
V = 300 Å³/f.u.
symmetry = I4/mmm

---

Preferred: *ii*; penalty for the next structure: 325 meV/atom.

---

*i*
DFT (PBE-GGA) results for a geometry-optimized LaHoEr2 structure.

Unit cell a=4.097 b=4.097 c=7.831 alpha=90.00 beta=90.00 gamma=90.00
Fractional coordinates of all 4 atoms:
La  0.000  0.000  0.000
Ho  0.000  0.000  0.500
Er  0.500  0.500  0.265
Er  0.500  0.500  0.735

spin magnetization = 0.0 μB per formula unit
V = 131 Å³/f.u.
symmetry = P4/mmm

---

*ii*
DFT (PBE-GGA) results for a geometry-optimized LaHoEr2 structure.

Unit cell a=11.692 b=11.692 c=11.692 alpha=17.69 beta=17.69 gamma=17.69
Fractional coordinates of all 4 atoms:
La  0.000  0.000  0.000
Ho  0.834  0.834  0.834
Er  0.419  0.419  0.419
Er  0.582  0.582  0.582

spin magnetization = 0.0 μB per formula unit
V = 129 Å³/f.u.
symmetry = R3m

---

*iii*
DFT (PBE-GGA) results for a geometry-optimized LaHoEr2 structure.

Unit cell a=6.237 b=7.308 c=11.444 alpha=90.00 beta=90.00 gamma=90.00
Fractional coordinates of all 16 atoms:
La  0.173  0.001  0.375
La  0.173  0.999  0.875
La  0.827  0.001  0.125
La  0.827  0.999  0.625
Ho  0.332  0.258  0.125
Ho  0.332  0.742  0.625
Ho  0.668  0.258  0.375
Ho  0.668  0.742  0.875
Er  0.167  0.500  0.375
Er  0.167  0.500  0.875
Er  0.331  0.258  0.625
Er  0.331  0.742  0.125
Er  0.669  0.258  0.875
Er  0.669  0.742  0.375
Er  0.833  0.500  0.125
Er  0.833  0.500  0.625

spin magnetization = 0.0 μB per formula unit
V = 130 Å³/f.u.
symmetry = P2/c

---

Preferred: *ii*; penalty for the next structure: 14 meV/atom.

---

*i*
DFT (PBE-GGA) results for a geometry-optimized LaHoEr2 structure.

Unit cell a=11.778 b=11.778 c=11.778 alpha=17.46 beta=17.46 gamma=17.46
Fractional coordinates of all 4 atoms:
La  0.000  0.000  0.000
Ho  0.500  0.500  0.500
Er  0.248  0.248  0.248
Er  0.752  0.752  0.752

spin magnetization = 0.0 μB per formula unit
V = 128 Å³/f.u.
symmetry = R-3m

---

*ii*
DFT (PBE-GGA) results for a geometry-optimized LaHoEr2 structure.

Unit cell a=5.703 b=5.703 c=5.703 alpha=60.00 beta=60.00 gamma=60.00
Fractional coordinates of all 4 atoms:
La  0.000  0.000  0.000
Ho  0.500  0.500  0.500
Er  0.250  0.250  0.250
Er  0.750  0.750  0.750

spin magnetization = 0.0 μB per formula unit
V = 131 Å³/f.u.
symmetry = Fm-3m

---

Preferred: *i*; penalty for the next structure: 86 meV/atom.

---

*i*
DFT (PBE-GGA) results for a geometry-optimized LaHoEr2 structure.

Unit cell a=6.760 b=6.760 c=6.760 alpha=148.58 beta=64.74 gamma=124.98
Fractional coordinates of all 4 atoms:
La  0.000  0.000  0.000
Ho  0.493  0.993  0.500
Er  0.410  0.657  0.754
Er  0.903  0.657  0.246

spin magnetization = 0.0 μB per formula unit
V = 131 Å³/f.u.
symmetry = Imm2

---

*ii*
DFT (PBE-GGA) results for a geometry-optimized LaHoEr2 structure.

Unit cell a=5.067 b=5.067 c=5.043 alpha=90.00 beta=90.00 gamma=90.00
Fractional coordinates of all 4 atoms:
La  0.000  0.000  0.000
Ho  0.500  0.500  0.000
Er  0.000  0.500  0.500
Er  0.500  0.000  0.500

spin magnetization = 0.0 μB per formula unit
V = 129 Å³/f.u.
symmetry = P4/mmm

---

Preferred: *i*; penalty for the next structure: 8 meV/atom.